1.
Material: Cd4In5Pb4
Method: DFT, GGA-PBE
State: optimized geometry

a b c (Å): 4.527 9.161 9.161
angles (deg): 86.50 75.70 75.70
Sites, in units of the cell vectors:
Pb  0.853  0.907  0.386
Pb  0.760  0.386  0.093
Pb  0.147  0.093  0.614
Pb  0.240  0.614  0.907
In  0.457  0.236  0.850
In  0.000  0.000  0.000
In  0.307  0.150  0.236
In  0.693  0.850  0.764
In  0.543  0.764  0.150
Cd  0.931  0.461  0.676
Cd  0.393  0.676  0.539
Cd  0.607  0.324  0.461
Cd  0.069  0.539  0.324

Properties
- SG = I4/m (87)
- energy (eV/atom) = -2.442
- ΔH_f (0 K) (eV per atom) = 0.034
- DOS at the Fermi energy (states/eV/f.u.) = 5.0

2.
Material: Ac3NiAu2
Method: DFT, GGA-PBE
State: optimized geometry

a b c (Å): 4.328 13.216 12.515
angles (deg): 90.00 90.00 90.00
Sites, in units of the cell vectors:
Ni  0.750  0.875  0.878
Ni  0.250  0.125  0.122
Ni  0.250  0.375  0.622
Ni  0.750  0.625  0.378
Ac  0.750  0.200  0.272
Ac  0.750  0.949  0.121
Ac  0.250  0.129  0.551
Ac  0.250  0.700  0.228
Ac  0.250  0.371  0.051
Ac  0.250  0.449  0.379
Ac  0.750  0.871  0.449
Ac  0.250  0.800  0.728
Ac  0.250  0.051  0.879
Ac  0.750  0.551  0.621
Ac  0.750  0.300  0.772
Ac  0.750  0.629  0.949
Au  0.250  0.690  0.490
Au  0.750  0.190  0.010
Au  0.250  0.013  0.315
Au  0.750  0.310  0.510
Au  0.750  0.513  0.185
Au  0.750  0.987  0.685
Au  0.250  0.810  0.990
Au  0.250  0.487  0.815

Properties
- SG = Pnma (62)
- energy (eV/atom) = -4.708
- ΔH_f (0 K) (eV per atom) = -0.598
- energy above the lowest structure with this stoichiometry (eV per formula unit) = 0.00
- DOS at the Fermi energy (states/eV/f.u.) = 5.5

3.
Material: Mg2ReIr
Method: DFT, GGA-PBE
State: optimized geometry

a b c (Å): 5.084 5.084 5.084
angles (deg): 135.49 135.49 64.77
Sites, in units of the cell vectors:
Mg  0.500  0.500  0.000
Mg  0.000  0.000  0.000
Re  0.250  0.750  0.500
Ir  0.750  0.250  0.500

Properties
- SG = I4/mmm (139)
- energy (eV/atom) = -5.929
- ΔH_f (0 K) (eV per atom) = 0.195
- energy above the lowest structure with this stoichiometry (eV per formula unit) = 1.12
- DOS at the Fermi energy (states/eV/f.u.) = 3.3

| no. | V (Å³/atom) | size of the total moment (μB/cell) |
| --- | --- | --- |
| 1 | 27.4 | 0.00 |
| 2 | 29.8 | 0.00 |
| 3 | 15.9 | 0.00 |